Compound: CoCuW
Source: Alexandria
Functional: GGA-PBE
Structure: relaxed

Properties
formation energy from the elements: 218 meV/atom
energy above the lowest structure with this stoichiometry: 56 meV/atom
symmetry: I4mm (107)
VASP energy: -7.834 eV/atom

abc: 5.571 5.571 5.571
angles: 151.76 151.76 40.37
Element x y z (fractional)
Co1 0.000 0.000 0.000
Cu1 0.344 0.344 0.000
W1 0.662 0.662 0.000